## CaSb2TeRh (PBE-GGA)

Data for a relaxed CaSb2TeRh crystal.

a b c (Å): 5.060 5.060 5.803
angles (deg): 90.00 90.00 90.00
Sites, in units of the cell vectors:
Sb: 0.000 0.500 0.000
Sb: 0.500 0.000 0.000
Ca: 0.500 0.500 0.500
Te: 0.000 0.000 0.500
Rh: 0.000 0.000 0.000

Computed properties:
M_tot   0.000 μB/cell
Formation energy without anion corrections   -0.22 eV per atom
DOS at the Fermi energy   0.97 states/eV per atom
ΔE to the lowest computed polymorph   0.000 eV/atom
E   -4.36 eV/atom